CaFeAsF | Alexandria via LeMat-Bulk | GGA+U | relaxed; E = -5.171 eV per atom; symmetry = P4/nmm, No. 129; calculated volume = 147 Å³/cell
1.0
4.036 0.000 0.000
0.000 4.036 0.000
0.000 0.000 8.997
Ca Fe As F
2 2 2 2
Cartesian
1.009 1.009 1.270
3.027 3.027 7.728
1.009 3.027 4.499
3.027 1.009 4.499
1.009 1.009 6.141
3.027 3.027 2.857
1.009 3.027 0.000
3.027 1.009 0.000